Entry 1:
Compound: B2PC
Source: the Alexandria database
Functional: PBE
Structure: optimized geometry

The raw total energy comes out at -27.69 eV per cell. Its size of the total moment is 0.0 μB/cell. Its relative energy among the computed polymorphs is 0 meV per atom.

Cell lengths 2.8576, 2.8576, 4.3736 Å; angles 90.00, 90.00, 90.00 degrees
Last column: nearest neighbours and their distance in Å.
Element x y z (fractional)
B: 0.0000 0.5000 0.1890  2 C 1.65
B: 0.5000 0.0000 0.8110  2 C 1.65
P: 0.0000 0.0000 0.5000  4 B 1.97
C: 0.5000 0.5000 0.0000  4 B 1.65



Entry 2:
Compound: AcCeGeIr
Source: the Alexandria database
Functional: PBE
Structure: optimized geometry

The raw total energy comes out at -101.55 eV per cell. Its size of the total moment is 0.9 μB/cell. Its relative energy among the computed polymorphs is 63 meV per atom.

Cell lengths 7.3755, 7.3755, 7.3755 Å; angles 90.00, 90.00, 90.00 degrees
Last column: nearest neighbours and their distance in Å.
Element x y z (fractional)
Ac: 0.0000 0.0000 0.0000  4 Ir 3.19, 4 Ge 3.19
Ac: 0.0000 0.5000 0.5000  4 Ir 3.19, 4 Ge 3.19
Ac: 0.5000 0.0000 0.5000  4 Ir 3.19, 4 Ge 3.19
Ac: 0.5000 0.5000 0.0000  4 Ir 3.19, 4 Ge 3.19
Ce: 0.0000 0.0000 0.5000  4 Ge 3.19, 4 Ir 3.19
Ce: 0.0000 0.5000 0.0000  4 Ge 3.19, 4 Ir 3.19
Ce: 0.5000 0.0000 0.0000  4 Ge 3.19, 4 Ir 3.19
Ce: 0.5000 0.5000 0.5000  4 Ge 3.19, 4 Ir 3.19
Ge: 0.2500 0.2500 0.7500  4 Ac 3.19, 4 Ce 3.19
Ge: 0.2500 0.7500 0.2500  4 Ac 3.19, 4 Ce 3.19
Ge: 0.7500 0.2500 0.2500  4 Ac 3.19, 4 Ce 3.19
Ge: 0.7500 0.7500 0.7500  4 Ac 3.19, 4 Ce 3.19
Ir: 0.2500 0.2500 0.2500  4 Ce 3.19, 4 Ac 3.19
Ir: 0.2500 0.7500 0.7500  4 Ac 3.19, 4 Ce 3.19
Ir: 0.7500 0.2500 0.7500  4 Ac 3.19, 4 Ce 3.19
Ir: 0.7500 0.7500 0.2500  4 Ac 3.19, 4 Ce 3.19